A plane-wave DFT calculation with GGA+U was carried out for crystalline HfZrNi2O at its relaxed geometry.

Calculated values
* volume: 86 Å³ per cell
* density of states at the Fermi level: 0.69 states/eV per atom
* magnetic moment: 0.00 μB/atom
* total energy: -5.546 eV per atom
* space group: P4/mmm (123)

abc: 4.6867 4.6867 3.9023
angles: 90.00 90.00 90.00
Element x y z (fractional)
1 Hf 0.0000 0.0000 0.0000
2 Zr 0.5000 0.5000 0.5000
3 Ni 0.0000 0.5000 0.0000
4 Ni 0.5000 0.0000 0.0000
5 O 0.0000 0.0000 0.5000